[1]
Material: PrPtW
Method: DFT, PBE
State: optimized geometry

Lattice parameters (Å, degrees): 4.7403 4.7403 4.7403 60.00 60.00 60.00
Closest atoms and distances in Å follow each position.
Atoms (fractional coordinates):
Pt (0.2500, 0.2500, 0.2500)  4 Pr 2.90
Pr (0.0000, 0.0000, 0.0000)  4 W 2.90, 4 Pt 2.90
W (0.7500, 0.7500, 0.7500)  4 Pr 2.90

Summary:
calculated formation energy	1.278	eV per atom
relative energy among the computed polymorphs	2.176	eV per formula unit
symmetry	F-43m, No. 216

***

[2]
Material: PrPtW
Method: DFT, PBE
State: optimized geometry

Lattice parameters (Å, degrees): 4.6800 4.6800 4.6800 60.00 60.00 60.00
Closest atoms and distances in Å follow each position.
Atoms (fractional coordinates):
Pr (0.2500, 0.2500, 0.2500)  4 Pt 2.87
Pt (0.0000, 0.0000, 0.0000)  4 Pr 2.87, 4 W 2.87
W (0.7500, 0.7500, 0.7500)  4 Pt 2.87

Summary:
calculated formation energy	0.553	eV per atom
relative energy among the computed polymorphs	0.000	eV per formula unit
symmetry	F-43m, No. 216

***

[3]
Material: Pr3YPt4
Method: DFT, PBE
State: optimized geometry

Lattice parameters (Å, degrees): 5.7144 4.6090 7.3168 90.00 90.61 90.00
Closest atoms and distances in Å follow each position.
Atoms (fractional coordinates):
Pt (0.1514, 0.5000, 0.0546)  5 Pr 2.94-3.19, 2 Pt 2.95, 2 Y 3.00
Pt (0.6547, 0.0000, 0.4526)  2 Y 2.96-3.09, 2 Pt 2.98, 5 Pr 3.03-3.17
Pt (0.8517, 0.0000, 0.9610)  2 Pt 2.95, 6 Pr 2.99-3.10, 1 Y 3.07
Pt (0.3409, 0.5000, 0.5339)  5 Pr 2.95-3.15, 2 Pt 2.98, 2 Y 3.02
Pr (0.6405, 0.5000, 0.1842)  7 Pt 2.94-3.09
Pr (0.8613, 0.5000, 0.6798)  7 Pt 2.95-3.19
Pr (0.3596, 0.0000, 0.8167)  7 Pt 2.99-3.17
Y (0.1400, 0.0000, 0.3171)  7 Pt 2.96-3.09

Summary:
calculated formation energy	-1.149	eV per atom
symmetry	Pm, No. 6

***

[4]
Material: PrY3Pt4
Method: DFT, PBE
State: optimized geometry

Lattice parameters (Å, degrees): 5.6210 4.5441 7.1514 90.00 90.62 90.00
Closest atoms and distances in Å follow each position.
Atoms (fractional coordinates):
Pt (0.8418, 0.0000, 0.0473)  6 Y 2.88-3.06, 2 Pt 2.93, 1 Pr 3.12
Pt (0.1547, 0.5000, 0.9673)  2 Pt 2.93, 5 Y 2.94-3.07, 2 Pr 3.05
Pt (0.3510, 0.5000, 0.4466)  2 Pt 2.91, 5 Y 2.91-3.11, 2 Pr 3.07
Pt (0.6526, 0.0000, 0.5391)  2 Pt 2.91, 2 Pr 2.92-3.06, 5 Y 3.02-3.03
Y (0.6400, 0.5000, 0.8198)  7 Pt 2.94-3.11
Y (0.8587, 0.5000, 0.3156)  7 Pt 2.91-3.02
Y (0.3603, 0.0000, 0.1818)  7 Pt 2.88-3.06
Pr (0.1410, 0.0000, 0.6825)  7 Pt 2.92-3.12

Summary:
calculated formation energy	-1.218	eV per atom
symmetry	Pm, No. 6